Hf2ZnIr | PBE | relaxed

Results
ΔE_f = -0.2601 eV/atom

CIF file:
```
data_Hf2ZnIr
_cell_length_a 6.512
_cell_length_b 6.512
_cell_length_c 6.512
_cell_angle_alpha 90.00
_cell_angle_beta 90.00
_cell_angle_gamma 90.00
_symmetry_space_group_name_H-M 'F -4 3 m'
_symmetry_Int_Tables_number 216
_symmetry_space_group_name_Hall 'F -4 2 3'
loop_
_atom_site_label
_atom_site_type_symbol
_atom_site_fract_x
_atom_site_fract_y
_atom_site_fract_z
_atom_site_occupancy
Hf1 Hf 0.000 0.000 0.000 1
Hf2 Hf 0.250 0.250 0.250 1
Zn1 Zn 0.000 0.000 0.500 1
Ir1 Ir 0.250 0.250 0.750 1
```